1.
8
Lattice="4.1940 0.0000 0.0000 0.0000 7.3219 0.1445 0.0000 -2.5383 6.7924" Properties=species:S:1:pos:R:3 comment="CeNd2PuSe4, relaxed, DFT PBE-GGA" formation_energy_uncorrected_mev_per_atom=-1768 pbc="T T T"
Nd 0.0000 2.3918 3.4684
Nd 2.0970 -1.2691 3.3962
Se 0.0000 -0.0562 5.1737
Se 2.0970 1.2119 1.7059
Se 2.0970 3.5717 5.2310
Se 0.0000 4.8398 1.7632
Pu 2.0970 3.6609 0.0722
Ce 0.0000 0.0000 0.0000

***

2.
4
Lattice="-2.6051 1.9336 -3.7141 -3.9615 -2.3730 -1.7307 -4.5136 1.8045 0.8313" Properties=species:S:1:pos:R:3 comment="PmHoOsPd, relaxed, DFT PBE-GGA" e_form_kcal_per_mol_atoms=-10.49 pbc="T T T"
Pd 0.0000 0.0000 0.0000
Os -5.5402 0.6826 -2.3067
Pm -8.3102 1.0239 -3.4601
Ho -2.7701 0.3413 -1.1534

***

3.
9
Lattice="3.4787 0.0000 0.0000 0.0000 6.2617 0.0000 0.0000 -3.1309 5.4228" Properties=species:S:1:pos:R:3 comment="LaBi2O6, relaxed, DFT PBE-GGA" formation_energy_uncorrected_mev_per_atom=-1354 pbc="T T T"
O 0.8558 1.6103 3.7615
O 0.8558 -0.9318 4.9366
O 2.6229 1.5206 1.6613
O 2.6229 4.0627 0.4862
O 0.8558 -0.6785 2.1475
O 2.6229 3.8093 3.2753
Bi 0.8132 3.1309 1.8076
Bi 2.6655 0.0000 3.6152
La 1.7393 0.0000 0.0000

***

4.
4
Lattice="-2.8851 3.6439 1.0136 -4.6111 -0.7865 0.8652 -1.7159 0.5209 4.4061" Properties=species:S:1:pos:R:3 comment="NpPaPdPt, relaxed, DFT PBE-GGA" e_form_kcal_per_mol_atoms=-15.43 pbc="T T T"
Pa 0.0000 0.0000 0.0000
Pt -2.3030 0.8446 1.5712
Np -6.9091 2.5337 4.7137
Pd -4.6061 1.6892 3.1424